The following is a GGA-PBE calculation of a geometry-optimized NaCu3Re structure, from Alexandria via LeMat-Bulk.

DOS at the Fermi energy	5.5	states/eV per cell
E above lowest polymorph	0.000	kcal/mol of atoms
ΔE_f	1.1405	eV per atom

Cell lengths 4.750, 4.750, 4.750 Å; angles 90.00, 90.00, 90.00 degrees
Space group Pm-3m (No. 221)
One atom of each set of equivalent atoms:
Na 0.000 0.000 0.000 [1 per cell]
Cu 0.000 0.500 0.500 [3 per cell]
Re 0.500 0.500 0.500 [1 per cell]